(1)
Density functional theory data (PBE) for crystalline RbUTe2O8 at its relaxed geometry.

a = 6.4144 Å, b = 6.4144 Å, c = 7.9039 Å
α = 90.00°, β = 90.00°, γ = 120.00°
Atoms (fractional coordinates):
Rb (0.0000, 0.0000, 0.0000)
U (0.0000, 0.0000, 0.5000)
Te (0.3333, 0.6667, 0.6986)
Te (0.6667, 0.3333, 0.3014)
O (0.1500, 0.2999, 0.6584)
O (0.1500, 0.8500, 0.6584)
O (0.2999, 0.1500, 0.3416)
O (0.3333, 0.6667, 0.9276)
O (0.6667, 0.3333, 0.0724)
O (0.7001, 0.8500, 0.6584)
O (0.8500, 0.1500, 0.3416)
O (0.8500, 0.7001, 0.3416)

Summary:
As for the formation energy (no corrections): -1661 meV/atom. For the total magnetization, the calculation gives 0.0 μB per formula unit. The calculation puts the electronic total energy at -6.5111 eV per atom. Its space group is P-3m1 (164).

***

(2)
Density functional theory data (PBE) for crystalline RbUTeO5 at its relaxed geometry.

a = 6.4781 Å, b = 6.4781 Å, c = 8.1965 Å
α = 90.82°, β = 90.82°, γ = 114.97°
Atoms (fractional coordinates):
Rb (0.1580, 0.8420, 0.7500)
Rb (0.8420, 0.1580, 0.2500)
U (0.5000, 0.5000, 0.0000)
U (0.5000, 0.5000, 0.5000)
Te (0.1805, 0.8195, 0.2500)
Te (0.8195, 0.1805, 0.7500)
O (0.2229, 0.2348, 0.9967)
O (0.2348, 0.2229, 0.4967)
O (0.2816, 0.6957, 0.4254)
O (0.3043, 0.7184, 0.0746)
O (0.4442, 0.5558, 0.7500)
O (0.5558, 0.4442, 0.2500)
O (0.6957, 0.2816, 0.9254)
O (0.7184, 0.3043, 0.5746)
O (0.7652, 0.7771, 0.5033)
O (0.7771, 0.7652, 0.0033)

Summary:
As for the formation energy (no corrections): -2124 meV/atom. For the total magnetization, the calculation gives 1.0 μB per formula unit. The calculation puts the electronic total energy at -7.1478 eV per atom. Its space group is C2/c (15).